A plane-wave DFT calculation with PBE with a Hubbard U was carried out for a geometry-optimized NaCo2P2O7 structure.

Unit cell a=7.861 b=7.861 c=7.861 alpha=39.82 beta=39.82 gamma=39.82
Fractional positions:
Na: 0.000 0.000 0.000
Co: 0.247 0.247 0.247
Co: 0.753 0.753 0.753
P: 0.426 0.426 0.426
P: 0.574 0.574 0.574
O: 0.128 0.412 0.677
O: 0.323 0.588 0.872
O: 0.412 0.677 0.128
O: 0.500 0.500 0.500
O: 0.588 0.872 0.323
O: 0.677 0.128 0.412
O: 0.872 0.323 0.588

Crystal system ... trigonal
E ... -6.47 eV per atom